# GGA+U LiMn2O3F, relaxed
data_LiMn2O3F
_cell_length_a 5.8612
_cell_length_b 6.1349
_cell_length_c 8.7774
_cell_angle_alpha 90.00
_cell_angle_beta 90.00
_cell_angle_gamma 90.00
_space_group_name_H-M_alt 'P n m a'
_space_group_IT_number 62
loop_
_space_group_symop_operation_xyz
'x,y,z'
'-x,-y,-z'
'-x+1/2,-y,z+1/2'
'x+1/2,y,-z+1/2'
'x+1/2,-y+1/2,-z+1/2'
'-x+1/2,y+1/2,z+1/2'
'-x,y+1/2,-z'
'x,-y+1/2,z'
loop_
_atom_site_label
_atom_site_fract_x
_atom_site_fract_y
_atom_site_fract_z
Li1 0.0301 0.2500 0.1467
Mn1 0.0000 0.0000 0.5000
Mn2 0.2479 0.7500 0.2580
O1 0.0040 0.0356 0.7253
O2 0.2015 0.7500 0.5074
F1 0.2210 0.7500 0.9962
# Calculated total energy in eV per atom: -6.750